VASP calculation (PBE) on a relaxed structure of SrThTe.

a b c (Å): 5.3797 5.3797 5.3797
angles (deg): 60.00 60.00 60.00
Closest atoms and distances in Å follow each position.
Fractional coordinates of all 3 atoms:
Sr  0.0000  0.0000  0.0000  4 Te 3.29
Th  0.5000  0.5000  0.5000  4 Te 3.29
Te  0.2500  0.2500  0.2500  4 Th 3.29, 4 Sr 3.29

Magnetic moment (μB/cell): 1.9
Energy above the most stable polymorph in this dataset (eV/atom): 0.000
Volume (Å³/atom): 36.70

=====

VASP calculation (PBE) on a relaxed structure of Rb3Cd2Hg2.

a b c (Å): 12.7330 12.7330 4.4477
angles (deg): 90.00 90.00 157.27
Closest atoms and distances in Å follow each position.
Fractional coordinates of all 7 atoms:
Rb  0.0000  0.0000  0.0000  8 Hg 3.88, 2 Rb 3.91
Rb  0.1564  0.8436  0.0000  6 Cd 3.67-3.87, 4 Hg 3.88, 1 Rb 3.91
Rb  0.8436  0.1564  0.0000  6 Cd 3.67-3.87, 4 Hg 3.88, 1 Rb 3.91
Cd  0.2834  0.7166  0.5000  2 Cd 3.01
Cd  0.7166  0.2834  0.5000  2 Cd 3.01
Hg  0.4219  0.5781  0.5000  1 Cd 3.46
Hg  0.5781  0.4219  0.5000  1 Cd 3.46

Volume (Å³/atom): 39.81

=====

VASP calculation (PBE) on a relaxed structure of LiLuSnPt.

a b c (Å): 4.8010 4.8010 4.8010
angles (deg): 60.00 60.00 60.00
Closest atoms and distances in Å follow each position.
Fractional coordinates of all 4 atoms:
Li  0.0000  0.0000  0.0000  4 Sn 2.94, 4 Pt 2.94
Lu  0.5000  0.5000  0.5000  4 Sn 2.94, 4 Pt 2.94
Sn  0.7500  0.7500  0.7500  4 Li 2.94, 4 Lu 2.94
Pt  0.2500  0.2500  0.2500  4 Li 2.94, 4 Lu 2.94

Magnetic moment (μB/cell): 0.0
Energy above the most stable polymorph in this dataset (eV/atom): 0.241
Volume (Å³/atom): 19.56

=====

VASP calculation (PBE) on a relaxed structure of PmPuCd.

a b c (Å): 4.9649 4.9649 4.9649
angles (deg): 60.00 60.00 60.00
Closest atoms and distances in Å follow each position.
Fractional coordinates of all 3 atoms:
Pm  0.0000  0.0000  0.0000  4 Pu 3.04
Pu  0.7500  0.7500  0.7500  4 Cd 3.04, 4 Pm 3.04
Cd  0.5000  0.5000  0.5000  4 Pu 3.04

Magnetic moment (μB/cell): 5.8
Energy above the most stable polymorph in this dataset (eV/atom): 0.000
Formation enthalpy at 0 K (eV per atom): 0.4692
Volume (Å³/atom): 28.85

=====

VASP calculation (PBE) on a relaxed structure of GdDy2Ni2B2N3.

a b c (Å): 10.3530 10.3530 10.3530
angles (deg): 160.61 160.61 27.56
Closest atoms and distances in Å follow each position.
Fractional coordinates of all 10 atoms:
Gd  0.0000  0.0000  0.0000  6 N 2.37-2.47
Dy  0.3761  0.3761  0.0000  5 N 2.47-2.49
Dy  0.6239  0.6239  0.0000  5 N 2.47-2.49
Ni  0.2500  0.7500  0.5000  4 B 2.12
Ni  0.7500  0.2500  0.5000  4 B 2.12
B  0.1903  0.1903  0.0000  1 N 1.46
B  0.8097  0.8097  0.0000  1 N 1.46
N  0.1179  0.1179  0.0000  1 B 1.46
N  0.5000  0.5000  0.0000  4 Gd 2.47, 2 Dy 2.49
N  0.8821  0.8821  0.0000  1 B 1.46

Magnetic moment (μB/cell): 0.0
Volume (Å³/atom): 12.23

=====

VASP calculation (PBE) on a relaxed structure of PuFe4P2.

a b c (Å): 6.9543 6.9543 3.6189
angles (deg): 90.00 90.00 90.00
Closest atoms and distances in Å follow each position.
Fractional coordinates of all 14 atoms:
Pu  0.0000  0.0000  0.0000  6 P 2.77-2.81, 12 Fe 3.07
Pu  0.5000  0.5000  0.5000  6 P 2.77-2.81, 12 Fe 3.07
Fe  0.0871  0.3454  0.5000  3 P 2.30, 6 Fe 2.47-2.54
Fe  0.1546  0.5871  0.0000  3 P 2.30, 6 Fe 2.47-2.54
Fe  0.3454  0.0871  0.5000  3 P 2.30, 6 Fe 2.47-2.54
Fe  0.4129  0.8454  0.0000  3 P 2.30, 6 Fe 2.47-2.54
Fe  0.5871  0.1546  0.0000  3 P 2.30, 6 Fe 2.47-2.54
Fe  0.6546  0.9129  0.5000  3 P 2.30, 6 Fe 2.47-2.54
Fe  0.8454  0.4129  0.0000  3 P 2.30, 6 Fe 2.47-2.54
Fe  0.9129  0.6546  0.5000  3 P 2.30, 6 Fe 2.47-2.54
P  0.2181  0.7819  0.5000  6 Fe 2.30
P  0.2819  0.2819  0.0000  6 Fe 2.30
P  0.7181  0.7181  0.0000  6 Fe 2.30
P  0.7819  0.2181  0.5000  6 Fe 2.30

Magnetic moment (μB/cell): 6.1
Volume (Å³/atom): 12.50

=====

Computed total DFT energy (no corrections) (Ry/atom) in order:
-0.318; -0.063; -0.353; -0.450; -0.554; -0.640